(1)
Here is crystalline HfAl3Co at its relaxed geometry from the Alexandria database. Energies are from PBE.

```
data_HfAl3Co
_space_group_name_H-M_alt 'P 1'
_space_group_IT_number 1
_space_group_name_Hall 'P 1'
_cell_length_a 4.411
_cell_length_b 4.411
_cell_length_c 4.411
_cell_angle_alpha 90.00
_cell_angle_beta 90.00
_cell_angle_gamma 90.00
loop_
_atom_site_label
_atom_site_fract_x
_atom_site_fract_y
_atom_site_fract_z
_atom_site_occupancy
Hf1 0.000 0.000 0.000 1
Al1 0.000 0.500 0.500 1
Al2 0.500 0.000 0.500 1
Al3 0.500 0.500 0.000 1
Co1 0.500 0.500 0.500 1
```

Values from the calculation:
symmetry: Pm-3m
crystal system: cubic
excess energy over the best structure of this formula in the dataset: 447.1 meV per atom
E_form: 3 meV per atom
DFT total energy: -5.655 eV/atom

(2)
Here is crystalline Ba2PaO6 at its relaxed geometry from the Alexandria database. Energies are from PBE.

```
data_Ba2PaO6
_space_group_name_H-M_alt 'P 1'
_space_group_IT_number 1
_space_group_name_Hall 'P 1'
_cell_length_a 6.861
_cell_length_b 6.861
_cell_length_c 4.044
_cell_angle_alpha 97.03
_cell_angle_beta 97.03
_cell_angle_gamma 56.55
loop_
_atom_site_label
_atom_site_fract_x
_atom_site_fract_y
_atom_site_fract_z
_atom_site_occupancy
Ba1 0.167 0.167 0.185 1
Ba2 0.833 0.833 0.815 1
Pa1 0.500 0.500 0.500 1
O1 0.147 0.586 0.332 1
O2 0.290 0.710 0.000 1
O3 0.414 0.853 0.668 1
O4 0.586 0.147 0.332 1
O5 0.710 0.290 0.000 1
O6 0.853 0.414 0.668 1
```

Values from the calculation:
symmetry: C2/m
crystal system: monoclinic
DFT total energy: -7.209 eV/atom
raw formation energy: -55.8 kcal/mol of atoms

(3)
Here is crystalline CeGaF at its relaxed geometry from the Alexandria database. Energies are from PBE.

```
data_CeGaF
_space_group_name_H-M_alt 'P 1'
_space_group_IT_number 1
_space_group_name_Hall 'P 1'
_cell_length_a 6.827
_cell_length_b 6.827
_cell_length_c 6.827
_cell_angle_alpha 153.28
_cell_angle_beta 153.28
_cell_angle_gamma 38.14
loop_
_atom_site_label
_atom_site_fract_x
_atom_site_fract_y
_atom_site_fract_z
_atom_site_occupancy
Ce1 0.000 0.000 0.000 1
Ga1 0.334 0.334 0.000 1
F1 0.596 0.596 0.000 1
```

Values from the calculation:
symmetry: I4mm
crystal system: tetragonal
excess energy over the best structure of this formula in the dataset: 291.6 meV per atom
DFT total energy: -5.055 eV/atom
raw formation energy: -33.3 kcal/mol of atoms

(4)
Here is crystalline OsS4Br at its relaxed geometry from the Alexandria database. Energies are from PBE.

```
data_OsS4Br
_space_group_name_H-M_alt 'P 1'
_space_group_IT_number 1
_space_group_name_Hall 'P 1'
_cell_length_a 6.474
_cell_length_b 7.489
_cell_length_c 8.365
_cell_angle_alpha 116.45
_cell_angle_beta 99.28
_cell_angle_gamma 103.07
loop_
_atom_site_label
_atom_site_fract_x
_atom_site_fract_y
_atom_site_fract_z
_atom_site_occupancy
Os1 0.195 0.008 0.467 1
Os2 0.805 0.992 0.533 1
S1 0.036 0.814 0.603 1
S2 0.157 0.181 0.772 1
S3 0.389 0.082 0.276 1
S4 0.423 0.776 0.452 1
S5 0.577 0.224 0.548 1
S6 0.611 0.918 0.724 1
S7 0.843 0.819 0.228 1
S8 0.964 0.186 0.397 1
Br1 0.246 0.557 0.869 1
Br2 0.754 0.443 0.131 1
```

Values from the calculation:
symmetry: P-1
crystal system: triclinic
DFT total energy: -4.906 eV/atom
raw formation energy: -0.1 kcal/mol of atoms

(5)
Here is crystalline CoReGeSb2 at its relaxed geometry from the Alexandria database. Energies are from PBE.

```
data_CoReGeSb2
_space_group_name_H-M_alt 'P 1'
_space_group_IT_number 1
_space_group_name_Hall 'P 1'
_cell_length_a 5.221
_cell_length_b 5.221
_cell_length_c 4.246
_cell_angle_alpha 90.00
_cell_angle_beta 90.00
_cell_angle_gamma 90.00
loop_
_atom_site_label
_atom_site_fract_x
_atom_site_fract_y
_atom_site_fract_z
_atom_site_occupancy
Co1 0.000 0.000 0.000 1
Re1 0.500 0.500 0.000 1
Ge1 0.000 0.000 0.500 1
Sb1 0.000 0.500 0.500 1
Sb2 0.500 0.000 0.500 1
```

Values from the calculation:
symmetry: P4/mmm
crystal system: tetragonal
DFT total energy: -4.958 eV/atom
raw formation energy: 35.2 kcal/mol of atoms

(6)
Here is crystalline HoMgCuOs at its relaxed geometry from the Alexandria database. Energies are from PBE.

```
data_HoMgCuOs
_space_group_name_H-M_alt 'P 1'
_space_group_IT_number 1
_space_group_name_Hall 'P 1'
_cell_length_a 4.661
_cell_length_b 4.661
_cell_length_c 4.661
_cell_angle_alpha 60.00
_cell_angle_beta 60.00
_cell_angle_gamma 60.00
loop_
_atom_site_label
_atom_site_fract_x
_atom_site_fract_y
_atom_site_fract_z
_atom_site_occupancy
Ho1 0.000 0.000 0.000 1
Mg1 0.500 0.500 0.500 1
Cu1 0.250 0.250 0.250 1
Os1 0.750 0.750 0.750 1
```

Values from the calculation:
symmetry: F-43m
crystal system: cubic
E_form: -18 meV per atom
DFT total energy: -5.393 eV/atom

(7)
Here is crystalline Nb2TcI at its relaxed geometry from the Alexandria database. Energies are from PBE.

```
data_Nb2TcI
_space_group_name_H-M_alt 'P 1'
_space_group_IT_number 1
_space_group_name_Hall 'P 1'
_cell_length_a 8.113
_cell_length_b 8.113
_cell_length_c 8.113
_cell_angle_alpha 140.65
_cell_angle_beta 140.65
_cell_angle_gamma 56.87
loop_
_atom_site_label
_atom_site_fract_x
_atom_site_fract_y
_atom_site_fract_z
_atom_site_occupancy
Nb1 0.057 0.625 0.932 1
Nb2 0.375 0.307 0.432 1
Nb3 0.693 0.125 0.068 1
Nb4 0.875 0.943 0.568 1
Tc1 0.000 0.000 0.000 1
Tc2 0.750 0.250 0.500 1
I1 0.250 0.750 0.500 1
I2 0.500 0.500 0.000 1
```

Values from the calculation:
symmetry: I-42d
crystal system: tetragonal
excess energy over the best structure of this formula in the dataset: 488.1 meV per atom
DFT total energy: -6.850 eV/atom
raw formation energy: 26.8 kcal/mol of atoms

(8)
Here is crystalline CaHgBr at its relaxed geometry from the Alexandria database. Energies are from PBE.

```
data_CaHgBr
_space_group_name_H-M_alt 'P 1'
_space_group_IT_number 1
_space_group_name_Hall 'P 1'
_cell_length_a 4.063
_cell_length_b 4.063
_cell_length_c 28.284
_cell_angle_alpha 90.00
_cell_angle_beta 90.00
_cell_angle_gamma 120.00
loop_
_atom_site_label
_atom_site_fract_x
_atom_site_fract_y
_atom_site_fract_z
_atom_site_occupancy
Ca1 0.333 0.667 0.108 1
Ca2 0.333 0.667 0.628 1
Ca3 0.667 0.333 0.372 1
Ca4 0.667 0.333 0.892 1
Hg1 0.333 0.667 0.815 1
Hg2 0.333 0.667 0.965 1
Hg3 0.667 0.333 0.035 1
Hg4 0.667 0.333 0.185 1
Br1 0.333 0.667 0.309 1
Br2 0.333 0.667 0.434 1
Br3 0.667 0.333 0.566 1
Br4 0.667 0.333 0.691 1
```

Values from the calculation:
symmetry: P-3m1
crystal system: trigonal
excess energy over the best structure of this formula in the dataset: 98.8 meV per atom
DFT total energy: -2.360 eV/atom
raw formation energy: -23.9 kcal/mol of atoms

(9)
Here is crystalline TbPPd at its relaxed geometry from the Alexandria database. Energies are from PBE.

```
data_TbPPd
_space_group_name_H-M_alt 'P 1'
_space_group_IT_number 1
_space_group_name_Hall 'P 1'
_cell_length_a 4.877
_cell_length_b 4.877
_cell_length_c 4.877
_cell_angle_alpha 133.29
_cell_angle_beta 133.29
_cell_angle_gamma 68.20
loop_
_atom_site_label
_atom_site_fract_x
_atom_site_fract_y
_atom_site_fract_z
_atom_site_occupancy
Tb1 0.000 0.000 0.000 1
P1 0.347 0.347 0.000 1
Pd1 0.648 0.648 0.000 1
```

Values from the calculation:
symmetry: I4mm
crystal system: tetragonal
E_form: -787 meV per atom
DFT total energy: -5.865 eV/atom

(10)
Here is crystalline Ac3PrSe6 at its relaxed geometry from the Alexandria database. Energies are from PBE.

```
data_Ac3PrSe6
_space_group_name_H-M_alt 'P 1'
_space_group_IT_number 1
_space_group_name_Hall 'P 1'
_cell_length_a 9.024
_cell_length_b 9.024
_cell_length_c 9.024
_cell_angle_alpha 91.62
_cell_angle_beta 91.62
_cell_angle_gamma 91.62
loop_
_atom_site_label
_atom_site_fract_x
_atom_site_fract_y
_atom_site_fract_z
_atom_site_occupancy
Ac1 0.068 0.750 0.577 1
Ac2 0.250 0.423 0.932 1
Ac3 0.423 0.932 0.250 1
Ac4 0.577 0.068 0.750 1
Ac5 0.750 0.577 0.068 1
Ac6 0.932 0.250 0.423 1
Pr1 0.000 0.000 0.000 1
Pr2 0.500 0.500 0.500 1
Se1 0.038 0.687 0.910 1
Se2 0.090 0.962 0.313 1
Se3 0.190 0.425 0.588 1
Se4 0.313 0.090 0.962 1
Se5 0.412 0.810 0.575 1
Se6 0.425 0.588 0.190 1
Se7 0.575 0.412 0.810 1
Se8 0.588 0.190 0.425 1
Se9 0.687 0.910 0.038 1
Se10 0.810 0.575 0.412 1
Se11 0.910 0.038 0.687 1
Se12 0.962 0.313 0.090 1
```

Values from the calculation:
symmetry: R-3
crystal system: trigonal
excess energy over the best structure of this formula in the dataset: 0.0 meV per atom
DFT total energy: -5.768 eV/atom
raw formation energy: -45.4 kcal/mol of atoms

(11)
Here is crystalline LiZn2Rh at its relaxed geometry from the Alexandria database. Energies are from PBE.

```
data_LiZn2Rh
_space_group_name_H-M_alt 'P 1'
_space_group_IT_number 1
_space_group_name_Hall 'P 1'
_cell_length_a 4.251
_cell_length_b 4.251
_cell_length_c 3.033
_cell_angle_alpha 90.00
_cell_angle_beta 90.00
_cell_angle_gamma 90.00
loop_
_atom_site_label
_atom_site_fract_x
_atom_site_fract_y
_atom_site_fract_z
_atom_site_occupancy
Li1 0.000 0.000 0.000 1
Zn1 0.000 0.500 0.500 1
Zn2 0.500 0.000 0.500 1
Rh1 0.500 0.500 0.000 1
```

Values from the calculation:
symmetry: P4/mmm
crystal system: tetragonal
excess energy over the best structure of this formula in the dataset: 8.0 meV per atom
E_form: -403 meV per atom
DFT total energy: -3.356 eV/atom

(12)
Here is crystalline MoSe2Br at its relaxed geometry from the Alexandria database. Energies are from PBE.

```
data_MoSe2Br
_space_group_name_H-M_alt 'P 1'
_space_group_IT_number 1
_space_group_name_Hall 'P 1'
_cell_length_a 3.081
_cell_length_b 3.081
_cell_length_c 10.614
_cell_angle_alpha 90.00
_cell_angle_beta 90.00
_cell_angle_gamma 116.14
loop_
_atom_site_label
_atom_site_fract_x
_atom_site_fract_y
_atom_site_fract_z
_atom_site_occupancy
Mo1 0.000 0.000 0.000 1
Se1 0.000 0.000 0.483 1
Se2 0.500 0.500 0.176 1
Br1 0.500 0.500 0.802 1
```

Values from the calculation:
symmetry: Cmm2
crystal system: orthorhombic
excess energy over the best structure of this formula in the dataset: 669.9 meV per atom
DFT total energy: -4.480 eV/atom
raw formation energy: 8.9 kcal/mol of atoms